The following is a DFT calculation (PBE-GGA) of TbCd3Pd2 after structural relaxation.

Cell and atoms, written as POSCAR:
```
TbCd3Pd2
1.0
3.938 0.000 0.000
0.000 7.227 0.000
0.000 0.000 8.866
Cd Pd Tb
6 4 2
Direct
0.000 0.869 0.691 Cd
0.000 0.369 0.309 Cd
0.000 0.956 0.081 Cd
0.500 0.138 0.816 Cd
0.500 0.638 0.184 Cd
0.000 0.456 0.919 Cd
0.000 0.249 0.605 Pd
0.500 0.249 0.111 Pd
0.500 0.749 0.889 Pd
0.000 0.749 0.395 Pd
0.500 0.039 0.407 Tb
0.500 0.539 0.593 Tb
```

The calculation puts the density of states at the Fermi level at 4.33 states/eV per cell. For the total magnetic moment, the calculation gives 0.0 Bohr magnetons per cell. The formation energy is -2.93 eV per formula unit.